(1)
The following is a DFT calculation (GGA-PBEsol) of a geometry-optimized SbAs2RhSe structure.

Properties
Formation energy without anion corrections, meV per atom: 1455
Total moment, μB per atom: 0.15

Unit cell a=5.0881 b=5.0881 c=5.1008 alpha=90.00 beta=90.00 gamma=90.00
With the nearest neighbours (Å) after each atom.
Space group P4/mmm (No. 123)
Asymmetric unit:
Sb 0.0000 0.0000 0.0000 x1  4 As 2.54, 2 Se 2.55
As 0.0000 0.5000 0.0000 x2  2 Sb 2.54
Rh 0.5000 0.5000 0.5000 x1  4 Se 3.60, 8 As 3.60
Se 0.0000 0.0000 0.5000 x1  2 Sb 2.55


(2)
The following is a DFT calculation (GGA-PBEsol) of a geometry-optimized Sb2AsRhW structure.

Properties
Formation energy without anion corrections, meV per atom: 1615
Total moment, μB per atom: 0.22

Unit cell a=5.1217 b=5.1217 c=4.5788 alpha=90.00 beta=90.00 gamma=90.00
With the nearest neighbours (Å) after each atom.
Space group P4/mmm (No. 123)
Asymmetric unit:
Sb 0.0000 0.5000 0.0000 x2  2 As 2.56
As 0.0000 0.0000 0.0000 x1  2 W 2.29, 4 Sb 2.56
Rh 0.5000 0.5000 0.5000 x1  8 Sb 3.44, 4 W 3.62
W 0.0000 0.0000 0.5000 x1  2 As 2.29